w.
VASP calculation (PBE) on crystalline Y2In3Hg4 at its relaxed geometry. Values from VASP.

Structure (Quantum ESPRESSO input):
```
&SYSTEM
  ibrav = 0, nat = 9, ntyp = 3
/
ATOMIC_SPECIES
Y 88.91 Y.upf
In 114.82 In.upf
Hg 200.59 Hg.upf
CELL_PARAMETERS angstrom
4.540 -2.406 0.000
4.540 2.406 0.000
-1.251 0.000 10.301
ATOMIC_POSITIONS crystal
Y 0.172 0.172 0.218
Y 0.828 0.828 0.782
In 0.165 0.165 0.562
In 0.500 0.500 0.000
In 0.835 0.835 0.438
Hg 0.163 0.163 0.894
Hg 0.496 0.496 0.667
Hg 0.504 0.504 0.333
Hg 0.837 0.837 0.106
```

***

x.
VASP calculation (PBE) on crystalline Y2In3Hg4 at its relaxed geometry. Values from VASP.

Structure (Quantum ESPRESSO input):
```
&SYSTEM
  ibrav = 0, nat = 18, ntyp = 3
/
ATOMIC_SPECIES
Y 88.91 Y.upf
In 114.82 In.upf
Hg 200.59 Hg.upf
CELL_PARAMETERS angstrom
3.163 -8.311 0.000
3.163 8.311 0.000
0.000 0.000 8.658
ATOMIC_POSITIONS crystal
Y 0.111 0.889 0.920
Y 0.389 0.611 0.420
Y 0.611 0.389 0.580
Y 0.889 0.111 0.080
In 0.000 0.000 0.500
In 0.031 0.469 0.750
In 0.469 0.031 0.250
In 0.500 0.500 0.000
In 0.531 0.969 0.750
In 0.969 0.531 0.250
Hg 0.174 0.826 0.550
Hg 0.205 0.295 0.750
Hg 0.295 0.205 0.250
Hg 0.326 0.674 0.050
Hg 0.674 0.326 0.950
Hg 0.705 0.795 0.750
Hg 0.795 0.705 0.250
Hg 0.826 0.174 0.450
```

***

Which structure loses on stability? x does.

***

w.
VASP calculation (PBE) on crystalline YIn3Hg at its relaxed geometry. Values from VASP.

Structure (Quantum ESPRESSO input):
```
&SYSTEM
  ibrav = 0, nat = 5, ntyp = 3
/
ATOMIC_SPECIES
Y 88.91 Y.upf
In 114.82 In.upf
Hg 200.59 Hg.upf
CELL_PARAMETERS angstrom
6.011 0.000 0.000
0.000 6.011 0.000
0.000 0.000 6.011
ATOMIC_POSITIONS crystal
Y 0.000 0.000 0.000
In 0.000 0.000 0.500
In 0.000 0.500 0.000
In 0.500 0.000 0.000
Hg 0.500 0.500 0.500
```

***

x.
VASP calculation (PBE) on crystalline YIn3Hg at its relaxed geometry. Values from VASP.

Structure (Quantum ESPRESSO input):
```
&SYSTEM
  ibrav = 0, nat = 10, ntyp = 3
/
ATOMIC_SPECIES
Y 88.91 Y.upf
In 114.82 In.upf
Hg 200.59 Hg.upf
CELL_PARAMETERS angstrom
4.760 -5.481 0.000
4.760 5.481 0.000
0.000 0.000 5.688
ATOMIC_POSITIONS crystal
Y 0.228 0.772 0.750
Y 0.772 0.228 0.250
In 0.127 0.527 0.250
In 0.473 0.873 0.250
In 0.500 0.500 0.000
In 0.500 0.500 0.500
In 0.527 0.127 0.750
In 0.873 0.473 0.750
Hg 0.057 0.943 0.250
Hg 0.943 0.057 0.750
```

***

y.
VASP calculation (PBE) on crystalline YIn3Hg at its relaxed geometry. Values from VASP.

Structure (Quantum ESPRESSO input):
```
&SYSTEM
  ibrav = 0, nat = 5, ntyp = 3
/
ATOMIC_SPECIES
Y 88.91 Y.upf
In 114.82 In.upf
Hg 200.59 Hg.upf
CELL_PARAMETERS angstrom
5.460 0.000 0.000
0.000 5.460 0.000
0.000 0.000 5.460
ATOMIC_POSITIONS crystal
Y 0.000 0.000 0.000
In 0.000 0.500 0.500
In 0.500 0.000 0.500
In 0.500 0.500 0.000
Hg 0.500 0.500 0.500
```

***

Which structure loses on stability? w does.

***

w.
VASP calculation (PBE) on crystalline YInHg3 at its relaxed geometry. Values from VASP.

Structure (Quantum ESPRESSO input):
```
&SYSTEM
  ibrav = 0, nat = 10, ntyp = 3
/
ATOMIC_SPECIES
Y 88.91 Y.upf
In 114.82 In.upf
Hg 200.59 Hg.upf
CELL_PARAMETERS angstrom
4.606 0.000 0.000
0.000 7.302 0.000
0.000 0.000 7.611
ATOMIC_POSITIONS crystal
Y 0.250 0.250 0.211
Y 0.750 0.750 0.789
In 0.250 0.750 0.457
In 0.750 0.250 0.543
Hg 0.250 0.041 0.735
Hg 0.250 0.459 0.735
Hg 0.250 0.750 0.061
Hg 0.750 0.250 0.939
Hg 0.750 0.541 0.265
Hg 0.750 0.959 0.265
```

***

x.
VASP calculation (PBE) on crystalline YInHg3 at its relaxed geometry. Values from VASP.

Structure (Quantum ESPRESSO input):
```
&SYSTEM
  ibrav = 0, nat = 5, ntyp = 3
/
ATOMIC_SPECIES
Y 88.91 Y.upf
In 114.82 In.upf
Hg 200.59 Hg.upf
CELL_PARAMETERS angstrom
5.376 0.000 0.000
0.000 5.376 0.000
0.000 0.000 5.376
ATOMIC_POSITIONS crystal
Y 0.000 0.000 0.000
In 0.500 0.500 0.500
Hg 0.000 0.500 0.500
Hg 0.500 0.000 0.500
Hg 0.500 0.500 0.000
```

***

y.
VASP calculation (PBE) on crystalline YInHg3 at its relaxed geometry. Values from VASP.

Structure (Quantum ESPRESSO input):
```
&SYSTEM
  ibrav = 0, nat = 20, ntyp = 3
/
ATOMIC_SPECIES
Y 88.91 Y.upf
In 114.82 In.upf
Hg 200.59 Hg.upf
CELL_PARAMETERS angstrom
4.401 -5.923 0.000
4.401 5.923 0.000
0.000 0.000 9.814
ATOMIC_POSITIONS crystal
Y 0.130 0.870 0.750
Y 0.349 0.651 0.250
Y 0.651 0.349 0.750
Y 0.870 0.130 0.250
In 0.000 0.500 0.000
In 0.000 0.500 0.500
In 0.500 0.000 0.000
In 0.500 0.000 0.500
Hg 0.102 0.898 0.092
Hg 0.102 0.898 0.408
Hg 0.202 0.460 0.750
Hg 0.329 0.329 0.000
Hg 0.329 0.329 0.500
Hg 0.460 0.202 0.250
Hg 0.540 0.798 0.750
Hg 0.671 0.671 0.000
Hg 0.671 0.671 0.500
Hg 0.798 0.540 0.250
Hg 0.898 0.102 0.592
Hg 0.898 0.102 0.908
```

***

z.
VASP calculation (PBE) on crystalline YInHg3 at its relaxed geometry. Values from VASP.

Structure (Quantum ESPRESSO input):
```
&SYSTEM
  ibrav = 0, nat = 5, ntyp = 3
/
ATOMIC_SPECIES
Y 88.91 Y.upf
In 114.82 In.upf
Hg 200.59 Hg.upf
CELL_PARAMETERS angstrom
5.855 0.000 0.000
0.000 5.855 0.000
0.000 0.000 5.855
ATOMIC_POSITIONS crystal
Y 0.000 0.000 0.000
In 0.500 0.500 0.500
Hg 0.000 0.000 0.500
Hg 0.000 0.500 0.000
Hg 0.500 0.000 0.000
```

***

Which structure loses on stability? z does.